This record from Alexandria via LeMat-Bulk describes crystalline ErVBrO4 at its relaxed geometry. The functional is PBE with a Hubbard U.

Uncorrected energy ... -98.286 eV per cell
Space group ... No. 12
ρ ... 4.929 g/cm3
Total magnetization ... 0.00 μB/f.u.

Unit cell a=6.7042 b=6.7042 c=6.7278 alpha=101.65 beta=101.65 gamma=55.97
Element x y z (fractional)
1 Er 0.2058 0.2058 0.3431
2 Er 0.7942 0.7942 0.6569
3 V 0.1315 0.1315 0.7602
4 V 0.8685 0.8685 0.2398
5 Br 0.4736 0.4736 0.8246
6 Br 0.5264 0.5264 0.1754
7 O 0.0156 0.0156 0.2704
8 O 0.0351 0.6076 0.3762
9 O 0.1980 0.1980 0.0138
10 O 0.3924 0.9649 0.6238
11 O 0.6076 0.0351 0.3762
12 O 0.8020 0.8020 0.9862
13 O 0.9649 0.3924 0.6238
14 O 0.9844 0.9844 0.7296